w.
Computed, not measured: a PBEsol-optimized structure of SrMg2Cl at the SCAN level of DFT.

The value obtained for the calculated density is 2.4 g/cm³. For the total moment, the calculation gives 0.004 μB per cell. For the density of states at the Fermi level, the calculation gives 4.98 states/eV/cell.

The structure belongs to space group Imm2 (No. 44); the cell edges are 3.7818, 6.2072 and 10.0203 Å and the angles 90.00°, 90.00° and 90.00°. Symmetry generates all atoms from Sr at (0.0000, 0.0000, 0.0000), Mg at (0.0000, 0.0000, 0.5733), Mg at (0.0000, 0.5000, 0.8070) and Cl at (0.0000, 0.5000, 0.2793).

---

x.
Computed, not measured: a PBEsol-optimized structure of SrMg2Cl at the SCAN level of DFT.

The value obtained for the calculated density is 2.4 g/cm³. For the total moment, the calculation gives 0.177 μB per cell. For the density of states at the Fermi level, the calculation gives 4.11 states/eV/cell.

The structure belongs to space group C2/m (No. 12); the cell edges are 5.8952, 13.3420 and 3.9788 Å and the angles 90.00°, 131.40° and 90.00°. Symmetry generates all atoms from Sr at (0.0000, 0.0000, 0.0000), Mg at (0.2500, 0.2500, 0.5000) and Cl at (0.0000, 0.5000, 0.0000).

---

Energies relative to the most stable structure are w 141; x 0, reported in meV/atom.

---

w.
Computed, not measured: a PBEsol-optimized structure of Mg2TaCl at the SCAN level of DFT.

The value obtained for the calculated density is 5.7 g/cm³. For the total moment, the calculation gives 0.003 μB per cell. For the density of states at the Fermi level, the calculation gives 13.98 states/eV/cell.

The structure belongs to space group I-42d (No. 122); the cell edges are 7.4944, 7.4944 and 5.5012 Å and the angles 90.00°, 90.00° and 90.00°. Symmetry generates all atoms from Mg at (0.2079, 0.7500, 0.1250), Ta at (0.0000, 0.0000, 0.5000) and Cl at (0.0000, 0.0000, 0.0000).

---

x.
Computed, not measured: a PBEsol-optimized structure of Mg2TaCl at the SCAN level of DFT.

The value obtained for the calculated density is 5.4 g/cm³. For the total moment, the calculation gives 0.000 μB per cell. For the density of states at the Fermi level, the calculation gives 5.09 states/eV/cell.

The structure belongs to space group Cm (No. 8); the cell edges are 10.8826, 2.9793 and 5.2861 Å and the angles 90.00°, 109.22° and 90.00°. Symmetry generates all atoms from Mg at (0.0000, 0.0000, 0.0000), Mg at (0.1995, 0.0000, 0.6302), Ta at (0.4502, 0.0000, 0.4865) and Cl at (0.2881, 0.5000, 0.1757).

---

y.
Computed, not measured: a PBEsol-optimized structure of Mg2TaCl at the SCAN level of DFT.

The value obtained for the calculated density is 5.9 g/cm³. For the total moment, the calculation gives 0.000 μB per cell. For the density of states at the Fermi level, the calculation gives 8.01 states/eV/cell.

The structure belongs to space group R-3m (No. 166, hexagonal axes); the cell edges are 3.1454, 3.1454 and 25.9901 Å and the angles 90.00°, 90.00° and 120.00°. Symmetry generates all atoms from Mg at (0.0000, 0.0000, 0.2442), Ta at (0.0000, 0.0000, 0.0000) and Cl at (0.0000, 0.0000, 0.5000).

---

Energies relative to the most stable structure are w 855; x 358; y 0, reported in meV/atom.